# 1
This record from Alexandria via LeMat-Bulk describes crystalline LiAcGdRh at its relaxed geometry. The functional is GGA-PBE.

POSCAR file:
```
LiAcGdRh
1.0
0.0000 3.6708 3.6708
3.6708 0.0000 3.6708
3.6708 3.6708 0.0000
Li Ac Gd Rh
1 1 1 1
Direct
0.0000 0.0000 0.0000
0.7500 0.7500 0.7500
0.2500 0.2500 0.2500
0.5000 0.5000 0.5000
```

Results
The size of the total moment comes out at 7.11 Bohr magnetons per cell. As for the crystal system: cubic. The energy is -28.70 eV per formula unit.

***

# 2
This record from Alexandria via LeMat-Bulk describes crystalline La2Te2Pb at its relaxed geometry. The functional is GGA-PBE.

POSCAR file:
```
La2Te2Pb
1.0
8.8964 0.0000 0.0000
0.0000 8.8964 0.0000
0.0000 0.0000 4.1888
La Te Pb
4 4 2
Direct
0.1597 0.3403 0.0000
0.3403 0.8403 0.0000
0.6597 0.1597 0.0000
0.8403 0.6597 0.0000
0.1421 0.6421 0.5000
0.3579 0.1421 0.5000
0.6421 0.8579 0.5000
0.8579 0.3579 0.5000
0.0000 0.0000 0.0000
0.5000 0.5000 0.0000
```

Results
The size of the total moment comes out at 0.00 Bohr magnetons per cell. As for the crystal system: tetragonal. The energy is -25.29 eV per formula unit. The uncorrected formation energy comes out at -5.44 eV/f.u. The value obtained for the energy above the lowest structure with this stoichiometry is 0.000 eV per atom.

***

# 3
This record from Alexandria via LeMat-Bulk describes crystalline La4Ag at its relaxed geometry. The functional is GGA-PBE.

POSCAR file:
```
La4Ag
1.0
-2.1312 2.1312 9.7668
2.1312 -2.1312 9.7668
2.1312 2.1312 -9.7668
La Ag
4 1
Direct
0.0800 0.0800 0.0000
0.2500 0.7500 0.5000
0.7500 0.2500 0.5000
0.9200 0.9200 0.0000
0.5000 0.5000 0.0000
```

Results
The size of the total moment comes out at 0.00 Bohr magnetons per cell. As for the crystal system: tetragonal. The energy is -21.08 eV per formula unit. The value obtained for the energy above the lowest structure with this stoichiometry is 0.392 eV per atom.

***

# 4
This record from Alexandria via LeMat-Bulk describes crystalline SbAsHCl2 at its relaxed geometry. The functional is GGA-PBE.

POSCAR file:
```
SbAsHCl2
1.0
5.2164 0.0000 0.0000
0.0000 5.2164 0.0000
0.0000 0.0000 3.4983
Sb As H Cl
1 1 1 2
Direct
0.0000 0.0000 0.0000
0.5000 0.5000 0.0000
0.5000 0.5000 0.5000
0.0000 0.5000 0.5000
0.5000 0.0000 0.5000
```

Results
The size of the total moment comes out at 0.00 Bohr magnetons per cell. As for the crystal system: tetragonal. The energy is -14.08 eV per formula unit.

***

# 5
This record from Alexandria via LeMat-Bulk describes crystalline ZnCuTc2C at its relaxed geometry. The functional is GGA-PBE.

POSCAR file:
```
ZnCuTc2C
1.0
4.5704 0.0000 0.0000
0.0000 4.5704 0.0000
0.0000 0.0000 4.2802
Zn Cu Tc C
1 1 2 1
Direct
0.0000 0.0000 0.0000
0.0000 0.0000 0.5000
0.0000 0.5000 0.5000
0.5000 0.0000 0.5000
0.5000 0.5000 0.0000
```

Results
The size of the total moment comes out at 4.38 Bohr magnetons per cell. As for the crystal system: tetragonal. The energy is -23.03 eV per formula unit.

***

# 6
This record from Alexandria via LeMat-Bulk describes crystalline InGaCu2Te4 at its relaxed geometry. The functional is GGA-PBE.

POSCAR file:
```
InGaCu2Te4
1.0
-3.1069 3.1069 6.1534
3.1069 -3.1069 6.1534
3.1069 3.1069 -6.1534
In Ga Cu Te
1 1 2 4
Direct
0.0000 0.0000 0.0000
0.5000 0.5000 0.0000
0.2500 0.7500 0.5000
0.7500 0.2500 0.5000
0.1247 0.1247 0.5243
0.3996 0.8753 0.0000
0.6004 0.6004 0.4757
0.8753 0.3996 0.0000
```

Results
The size of the total moment comes out at 0.00 Bohr magnetons per cell. As for the crystal system: tetragonal. The energy is -28.72 eV per formula unit. The uncorrected formation energy comes out at -2.20 eV/f.u.

***

# 7
This record from Alexandria via LeMat-Bulk describes crystalline LaCl2 at its relaxed geometry. The functional is GGA-PBE.

POSCAR file:
```
LaCl2
1.0
0.0000 4.2553 4.2553
4.2553 0.0000 4.2553
4.2553 4.2553 0.0000
La Cl
2 4
Direct
0.1250 0.1250 0.1250
0.8750 0.8750 0.8750
0.0000 0.5000 0.5000
0.5000 0.0000 0.5000
0.5000 0.5000 0.0000
0.5000 0.5000 0.5000
```

Results
The size of the total moment comes out at 2.00 Bohr magnetons per cell. As for the crystal system: cubic. The energy is -11.19 eV per formula unit. The uncorrected formation energy comes out at -2.57 eV/f.u.

***

# 8
This record from Alexandria via LeMat-Bulk describes crystalline LaZn2Os at its relaxed geometry. The functional is GGA-PBE.

POSCAR file:
```
LaZn2Os
1.0
-2.2061 2.2061 9.2056
2.2061 -2.2061 9.2056
2.2061 2.2061 -9.2056
La Zn Os
2 4 2
Direct
0.0000 0.0000 0.0000
0.7500 0.2500 0.5000
0.2932 0.6250 0.1682
0.3750 0.5432 0.6682
0.4568 0.1250 0.8318
0.8750 0.7068 0.3318
0.2500 0.7500 0.5000
0.5000 0.5000 0.0000
```

Results
The size of the total moment comes out at 0.00 Bohr magnetons per cell. As for the crystal system: tetragonal. The energy is -18.21 eV per formula unit.

***

# 9
This record from Alexandria via LeMat-Bulk describes crystalline Al2HgN at its relaxed geometry. The functional is GGA-PBE.

POSCAR file:
```
Al2HgN
1.0
0.0000 3.1743 3.1743
3.1743 0.0000 3.1743
3.1743 3.1743 0.0000
Al Hg N
2 1 1
Direct
0.2500 0.2500 0.2500
0.7500 0.7500 0.7500
0.0000 0.0000 0.0000
0.5000 0.5000 0.5000
```

Results
The size of the total moment comes out at 0.00 Bohr magnetons per cell. As for the crystal system: cubic. The energy is -12.29 eV per formula unit. The uncorrected formation energy comes out at 3.82 eV/f.u. The value obtained for the energy above the lowest structure with this stoichiometry is 1.252 eV per atom.

***

# 10
This record from Alexandria via LeMat-Bulk describes crystalline Sm2Y5Mg at its relaxed geometry. The functional is GGA-PBE.

POSCAR file:
```
Sm2Y5Mg
1.0
-3.5363 3.5363 5.0515
3.5363 -3.5363 5.0515
3.5363 3.5363 -5.0515
Sm Y Mg
2 5 1
Direct
0.0000 0.5000 0.5000
0.5000 0.0000 0.5000
0.0000 0.0000 0.0000
0.0000 0.0000 0.5000
0.0000 0.5000 0.0000
0.5000 0.0000 0.0000
0.5000 0.5000 0.5000
0.5000 0.5000 0.0000
```

Results
The size of the total moment comes out at 0.00 Bohr magnetons per cell. As for the crystal system: tetragonal. The energy is -43.19 eV per formula unit.

***

# 11
This record from Alexandria via LeMat-Bulk describes crystalline Ti2CuH2 at its relaxed geometry. The functional is GGA-PBE.

POSCAR file:
```
Ti2CuH2
1.0
6.0904 0.0000 0.0000
0.0000 6.0904 0.0000
0.0000 0.0000 2.6582
Ti Cu H
4 2 4
Direct
0.1609 0.3391 0.0000
0.3391 0.8391 0.0000
0.6609 0.1609 0.0000
0.8391 0.6609 0.0000
0.0000 0.0000 0.5000
0.5000 0.5000 0.5000
0.1256 0.6256 0.5000
0.3744 0.1256 0.5000
0.6256 0.8744 0.5000
0.8744 0.3744 0.5000
```

Results
The size of the total moment comes out at 0.00 Bohr magnetons per cell. As for the crystal system: tetragonal. The energy is -26.68 eV per formula unit. The value obtained for the energy above the lowest structure with this stoichiometry is 0.289 eV per atom.

***

# 12
This record from Alexandria via LeMat-Bulk describes crystalline Ca2Mg2Zn at its relaxed geometry. The functional is GGA-PBE.

POSCAR file:
```
Ca2Mg2Zn
1.0
-3.3424 7.2311 2.8677
3.3424 -7.2311 2.8677
3.3424 7.2311 -2.8677
Ca Mg Zn
4 4 2
Direct
0.1736 0.1829 0.3566
0.3264 0.6829 0.0093
0.6736 0.3171 0.9907
0.8264 0.8171 0.6434
0.0746 0.6612 0.7357
0.4254 0.1612 0.5866
0.5746 0.8388 0.4134
0.9254 0.3388 0.2643
0.2500 0.2500 0.0000
0.7500 0.7500 0.0000
```

Results
The size of the total moment comes out at 0.00 Bohr magnetons per cell. As for the crystal system: orthorhombic. The energy is -9.01 eV per formula unit. The value obtained for the energy above the lowest structure with this stoichiometry is 0.020 eV per atom.